Entry 1:
## Cs8Sb2H (GGA-PBE)

Data for a geometry-optimized Cs8Sb2H structure.

The structure in POSCAR format:
```
Cs8Sb2H
1.0
10.0946 -3.3492 0.0000
10.0946 3.3492 0.0000
-1.7426 0.0000 11.2649
Cs Sb H
8 2 1
direct
0.0625 0.0625 0.2364 Cs
0.2084 0.2084 0.5795 Cs
0.3020 0.3020 0.9376 Cs
0.4232 0.4232 0.3442 Cs
0.5768 0.5768 0.6558 Cs
0.6980 0.6980 0.0624 Cs
0.7916 0.7916 0.4205 Cs
0.9375 0.9375 0.7636 Cs
0.2448 0.2448 0.2508 Sb
0.7552 0.7552 0.7492 Sb
0.0000 0.0000 0.5000 H
```

Results
Mass density in kg/m³: 2851
Crystal system: monoclinic
Volume in Å³ per cell: 761.7
Distance to the lowest polymorph of the same formula in meV/atom: 6.4



Entry 2:
## HfNiBi (GGA-PBE)

Data for a geometry-optimized HfNiBi structure.

The structure in POSCAR format:
```
HfNiBi
1.0
-1.6304 1.6304 13.0972
1.6304 -1.6304 13.0972
1.6304 1.6304 -13.0972
Hf Ni Bi
2 2 2
direct
0.1743 0.1743 0.0000 Hf
0.8257 0.8257 0.0000 Hf
0.2759 0.2759 0.0000 Ni
0.7241 0.7241 0.0000 Ni
0.4155 0.4155 0.0000 Bi
0.5845 0.5845 0.0000 Bi
```

Results
E_form in eV/f.u.: -0.8
Mass density in kg/m³: 10640
Crystal system: tetragonal
Volume in Å³ per cell: 139.3



Entry 3:
## Sm2ScTl3Te6 (GGA-PBE)

Data for a geometry-optimized Sm2ScTl3Te6 structure.

The structure in POSCAR format:
```
Sm2ScTl3Te6
1.0
3.8479 -6.6586 0.0000
3.8479 6.6586 0.0000
-2.5663 0.0000 8.1624
Sm Sc Tl Te
2 1 3 6
direct
0.1658 0.8342 0.0000 Sm
0.8342 0.1658 0.0000 Sm
0.5000 0.5000 0.0000 Sc
0.0000 0.0000 0.5000 Tl
0.3280 0.6720 0.5000 Tl
0.6720 0.3280 0.5000 Tl
0.1126 0.4299 0.7889 Te
0.2548 0.2548 0.2158 Te
0.4299 0.1126 0.7889 Te
0.5701 0.8874 0.2111 Te
0.7452 0.7452 0.7842 Te
0.8874 0.5701 0.2111 Te
```

Results
Mass density in kg/m³: 6846
Crystal system: monoclinic
Volume in Å³ per cell: 418.3
Formation energy without anion corrections in meV/atom: -1014